1.
A relaxed Ba2Cd2In crystal. Source: the Alexandria database, functional GGA-PBE.

```
data_Ba2Cd2In
_chemical_formula_sum 'Ba4 Cd4 In2'
_cell_length_a 9.824
_cell_length_b 9.824
_cell_length_c 4.078
_cell_angle_alpha 90.00
_cell_angle_beta 90.00
_cell_angle_gamma 90.00
_symmetry_space_group_name_H-M 'P 1'
_symmetry_Int_Tables_number 1
_symmetry_space_group_name_Hall 'P 1'
loop_
_atom_site_label
_atom_site_type_symbol
_atom_site_fract_x
_atom_site_fract_y
_atom_site_fract_z
_atom_site_occupancy
In1 In 0.000 0.000 0.000 1
In2 In 0.500 0.500 0.000 1
Ba1 Ba 0.825 0.675 0.000 1
Ba2 Ba 0.325 0.825 0.000 1
Ba3 Ba 0.175 0.325 0.000 1
Ba4 Ba 0.675 0.175 0.000 1
Cd1 Cd 0.117 0.617 0.500 1
Cd2 Cd 0.883 0.383 0.500 1
Cd3 Cd 0.617 0.883 0.500 1
Cd4 Cd 0.383 0.117 0.500 1
```

Summary:
Total magnetic moment (μB per formula unit): 0.00
Theoretical density (g/cm³): 5.18
Energy above the lowest structure with this stoichiometry (meV/atom): 249
Formation enthalpy at 0 K (meV per atom): -101.4
Space group: P4/mbm, No. 127

---

2.
A relaxed AcBe2AgF8 crystal. Source: the Alexandria database, functional GGA-PBE.

```
data_AcBe2AgF8
_chemical_formula_sum 'Ac1 Be2 Ag1 F8'
_cell_length_a 5.120
_cell_length_b 5.120
_cell_length_c 7.600
_cell_angle_alpha 70.32
_cell_angle_beta 70.32
_cell_angle_gamma 60.00
_symmetry_space_group_name_H-M 'P 1'
_symmetry_Int_Tables_number 1
_symmetry_space_group_name_Hall 'P 1'
loop_
_atom_site_label
_atom_site_type_symbol
_atom_site_fract_x
_atom_site_fract_y
_atom_site_fract_z
_atom_site_occupancy
F1 F 0.833 0.833 0.501 1
F2 F 0.670 0.058 0.786 1
F3 F 0.330 0.942 0.214 1
F4 F 0.942 0.513 0.214 1
F5 F 0.058 0.487 0.786 1
F6 F 0.513 0.330 0.214 1
F7 F 0.167 0.167 0.499 1
F8 F 0.487 0.670 0.786 1
Be1 Be 0.756 0.756 0.731 1
Be2 Be 0.244 0.244 0.269 1
Ac1 Ac 0.500 0.500 0.500 1
Ag1 Ag 0.000 0.000 0.000 1
```

Summary:
Total magnetic moment (μB per formula unit): 0.14
Theoretical density (g/cm³): 5.27
Space group: R-3, No. 148
ΔE_f (raw) (meV per atom): -3157

---

3.
A relaxed Sc2FeSb crystal. Source: the Alexandria database, functional GGA-PBE.

```
data_Sc2FeSb
_chemical_formula_sum 'Sc2 Fe1 Sb1'
_cell_length_a 3.587
_cell_length_b 3.420
_cell_length_c 7.243
_cell_angle_alpha 61.86
_cell_angle_beta 90.00
_cell_angle_gamma 90.00
_symmetry_space_group_name_H-M 'P 1'
_symmetry_Int_Tables_number 1
_symmetry_space_group_name_Hall 'P 1'
loop_
_atom_site_label
_atom_site_type_symbol
_atom_site_fract_x
_atom_site_fract_y
_atom_site_fract_z
_atom_site_occupancy
Sc1 Sc 0.000 0.521 0.478 1
Sc2 Sc 0.000 0.979 0.022 1
Sb1 Sb 0.500 0.750 0.750 1
Fe1 Fe 0.500 0.250 0.250 1
```

Summary:
Total magnetic moment (μB per formula unit): 1.47
Theoretical density (g/cm³): 5.67
Space group: Pmmm, No. 47
ΔE_f (raw) (meV per atom): -371

---

4.
A relaxed Sm2Tm3Pt2 crystal. Source: the Alexandria database, functional GGA-PBE.

```
data_Sm2Tm3Pt2
_chemical_formula_sum 'Sm2 Tm3 Pt2'
_cell_length_a 3.741
_cell_length_b 6.450
_cell_length_c 8.503
_cell_angle_alpha 72.89
_cell_angle_beta 77.29
_cell_angle_gamma 73.14
_symmetry_space_group_name_H-M 'P 1'
_symmetry_Int_Tables_number 1
_symmetry_space_group_name_Hall 'P 1'
loop_
_atom_site_label
_atom_site_type_symbol
_atom_site_fract_x
_atom_site_fract_y
_atom_site_fract_z
_atom_site_occupancy
Tm1 Tm 0.384 0.796 0.436 1
Tm2 Tm 0.500 0.000 0.000 1
Tm3 Tm 0.616 0.204 0.564 1
Sm1 Sm 0.161 0.490 0.189 1
Sm2 Sm 0.839 0.510 0.811 1
Pt1 Pt 0.832 0.096 0.241 1
Pt2 Pt 0.168 0.904 0.759 1
```

Summary:
Total magnetic moment (μB per formula unit): 0.00
Theoretical density (g/cm³): 10.71
Formation enthalpy at 0 K (meV per atom): -803.8
Space group: C2/m, No. 12

---

5.
A relaxed PaTa2Ti crystal. Source: the Alexandria database, functional GGA-PBE.

```
data_PaTa2Ti
_chemical_formula_sum 'Pa1 Ta2 Ti1'
_cell_length_a 3.426
_cell_length_b 3.426
_cell_length_c 6.623
_cell_angle_alpha 90.00
_cell_angle_beta 90.00
_cell_angle_gamma 90.00
_symmetry_space_group_name_H-M 'P 1'
_symmetry_Int_Tables_number 1
_symmetry_space_group_name_Hall 'P 1'
loop_
_atom_site_label
_atom_site_type_symbol
_atom_site_fract_x
_atom_site_fract_y
_atom_site_fract_z
_atom_site_occupancy
Pa1 Pa 0.500 0.500 0.500 1
Ta1 Ta 0.000 0.000 0.244 1
Ta2 Ta 0.000 0.000 0.756 1
Ti1 Ti 0.500 0.500 0.000 1
```

Summary:
Total magnetic moment (μB per formula unit): 0.00
Theoretical density (g/cm³): 13.69
Energy above the lowest structure with this stoichiometry (meV/atom): 136
Formation enthalpy at 0 K (meV per atom): 199.9
Space group: P4/mmm, No. 123

---

6.
A relaxed Ac2YBr crystal. Source: the Alexandria database, functional GGA-PBE.

```
data_Ac2YBr
_chemical_formula_sum 'Ac2 Y1 Br1'
_cell_length_a 3.748
_cell_length_b 3.748
_cell_length_c 12.584
_cell_angle_alpha 81.43
_cell_angle_beta 81.43
_cell_angle_gamma 60.00
_symmetry_space_group_name_H-M 'P 1'
_symmetry_Int_Tables_number 1
_symmetry_space_group_name_Hall 'P 1'
loop_
_atom_site_label
_atom_site_type_symbol
_atom_site_fract_x
_atom_site_fract_y
_atom_site_fract_z
_atom_site_occupancy
Br1 Br 0.500 0.500 0.500 1
Ac1 Ac 0.903 0.903 0.290 1
Ac2 Ac 0.097 0.097 0.710 1
Y1 Y 0.000 0.000 0.000 1
```

Summary:
Total magnetic moment (μB per formula unit): 0.05
Theoretical density (g/cm³): 6.86
Space group: R-3m, No. 166
ΔE_f (raw) (meV per atom): -302

---

7.
A relaxed MgGeO3 crystal. Source: the Alexandria database, functional GGA-PBE.

```
data_MgGeO3
_chemical_formula_sum 'Mg1 Ge1 O3'
_cell_length_a 3.682
_cell_length_b 3.682
_cell_length_c 3.682
_cell_angle_alpha 90.00
_cell_angle_beta 90.00
_cell_angle_gamma 90.00
_symmetry_space_group_name_H-M 'P 1'
_symmetry_Int_Tables_number 1
_symmetry_space_group_name_Hall 'P 1'
loop_
_atom_site_label
_atom_site_type_symbol
_atom_site_fract_x
_atom_site_fract_y
_atom_site_fract_z
_atom_site_occupancy
O1 O 0.000 0.000 0.500 1
O2 O 0.000 0.500 0.000 1
O3 O 0.500 0.000 0.000 1
Mg1 Mg 0.500 0.500 0.500 1
Ge1 Ge 0.000 0.000 0.000 1
```

Summary:
Total magnetic moment (μB per formula unit): 0.00
Theoretical density (g/cm³): 4.82
Space group: Pm-3m, No. 221
ΔE_f (raw) (meV per atom): -1624

---

8.
A relaxed BeIN2O crystal. Source: the Alexandria database, functional GGA-PBE.

```
data_BeIN2O
_chemical_formula_sum 'Be1 I1 N2 O1'
_cell_length_a 4.033
_cell_length_b 4.033
_cell_length_c 3.917
_cell_angle_alpha 90.00
_cell_angle_beta 90.00
_cell_angle_gamma 90.00
_symmetry_space_group_name_H-M 'P 1'
_symmetry_Int_Tables_number 1
_symmetry_space_group_name_Hall 'P 1'
loop_
_atom_site_label
_atom_site_type_symbol
_atom_site_fract_x
_atom_site_fract_y
_atom_site_fract_z
_atom_site_occupancy
Be1 Be 0.500 0.500 0.500 1
I1 I 0.000 0.000 0.000 1
N1 N 0.000 0.500 0.000 1
N2 N 0.500 0.000 0.000 1
O1 O 0.000 0.000 0.500 1
```

Summary:
Total magnetic moment (μB per formula unit): 0.17
Theoretical density (g/cm³): 4.69
Space group: P4/mmm, No. 123
ΔE_f (raw) (meV per atom): 1750

---

9.
A relaxed K2As2S crystal. Source: the Alexandria database, functional GGA-PBE.

```
data_K2As2S
_chemical_formula_sum 'K2 As2 S1'
_cell_length_a 3.764
_cell_length_b 3.764
_cell_length_c 10.344
_cell_angle_alpha 79.52
_cell_angle_beta 79.52
_cell_angle_gamma 90.00
_symmetry_space_group_name_H-M 'P 1'
_symmetry_Int_Tables_number 1
_symmetry_space_group_name_Hall 'P 1'
loop_
_atom_site_label
_atom_site_type_symbol
_atom_site_fract_x
_atom_site_fract_y
_atom_site_fract_z
_atom_site_occupancy
As1 As 0.750 0.250 0.500 1
As2 As 0.250 0.750 0.500 1
K1 K 0.411 0.411 0.177 1
K2 K 0.589 0.589 0.823 1
S1 S 0.000 0.000 0.000 1
```

Summary:
Total magnetic moment (μB per formula unit): 0.50
Theoretical density (g/cm³): 3.05
Energy above the lowest structure with this stoichiometry (meV/atom): 0
Space group: I4/mmm, No. 139
ΔE_f (raw) (meV per atom): -417

---

10.
A relaxed CsS2IO crystal. Source: the Alexandria database, functional GGA-PBE.

```
data_CsS2IO
_chemical_formula_sum 'Cs1 S2 I1 O1'
_cell_length_a 4.658
_cell_length_b 5.942
_cell_length_c 4.658
_cell_angle_alpha 90.00
_cell_angle_beta 90.00
_cell_angle_gamma 90.00
_symmetry_space_group_name_H-M 'P 1'
_symmetry_Int_Tables_number 1
_symmetry_space_group_name_Hall 'P 1'
loop_
_atom_site_label
_atom_site_type_symbol
_atom_site_fract_x
_atom_site_fract_y
_atom_site_fract_z
_atom_site_occupancy
S1 S 0.500 0.000 0.000 1
S2 S 0.000 0.000 0.500 1
I1 I 0.500 0.500 0.500 1
Cs1 Cs 0.000 0.500 0.000 1
O1 O 0.000 0.000 0.000 1
```

Summary:
Total magnetic moment (μB per formula unit): 0.00
Theoretical density (g/cm³): 4.38
Space group: P4/mmm, No. 123
ΔE_f (raw) (meV per atom): 382